(1)
{
  "formula": "La2TbU",
  "functional": "PBE",
  "state": "optimized geometry",
  "final_energy_ev_per_cell": -23.9,
  "cell": [[-2.3388, 1.2278, 2.0263], [-1.1027, -1.8165, 2.5627], [7.7766, 4.7173, 8.8522]],
  "species": ["La", "La", "U", "Tb"],
  "frac_coords": [[0.0826, 0.0826, 0.7523], [0.9174, 0.9174, 0.2477], [0.0000, 0.0000, 0.0000], [0.5000, 0.5000, 0.5000]]
}


(2)
{
  "formula": "La2Sm3Y3",
  "functional": "PBE",
  "state": "optimized geometry",
  "relative_energy_mev_per_atom": 101,
  "cell": [[3.6264, 0.0000, 0.0000], [-1.8132, 8.7822, 0.0000], [0.0000, 0.0000, 17.3700]],
  "species": ["Sm", "Sm", "Sm", "Sm", "Sm", "Sm", "Y", "Y", "Y", "Y", "Y", "Y", "La", "La", "La", "La"],
  "frac_coords": [[0.3520, 0.7040, 0.4940], [0.3520, 0.7040, 0.0060], [0.3962, 0.7923, 0.2500], [0.6480, 0.2960, 0.9940], [0.6480, 0.2960, 0.5060], [0.6038, 0.2077, 0.7500], [0.4167, 0.8334, 0.7500], [0.0021, 0.0042, 0.1006], [0.9979, 0.9958, 0.8994], [0.9979, 0.9958, 0.6006], [0.5833, 0.1666, 0.2500], [0.0021, 0.0042, 0.3994], [0.7722, 0.5444, 0.6524], [0.7722, 0.5444, 0.8476], [0.2278, 0.4556, 0.1524], [0.2278, 0.4556, 0.3476]]
}


(3)
{
  "formula": "PmPaGePt",
  "functional": "PBE",
  "state": "optimized geometry",
  "final_energy_ev_per_cell": -27.1,
  "cell": [[-3.0811, -3.4068, -2.1619], [0.6252, -4.9485, 0.9462], [-3.4040, -2.4947, 2.8218]],
  "species": ["Pm", "Ge", "Pa", "Pt"],
  "frac_coords": [[0.5000, 0.5000, 0.5000], [0.2500, 0.2500, 0.2500], [0.0000, 0.0000, 0.0000], [0.7500, 0.7500, 0.7500]]
}


(4)
{
  "formula": "Ta2CrCl",
  "functional": "PBE",
  "state": "optimized geometry",
  "relative_energy_mev_per_atom": 704,
  "formation_energy_uncorrected_ev_per_atom": 0.68,
  "cell": [[3.0795, 0.0000, 0.0000], [0.0000, 4.9517, 0.0000], [0.0000, 0.0000, 4.3974]],
  "species": ["Cl", "Cr", "Ta", "Ta"],
  "frac_coords": [[0.5000, 0.0000, 0.5000], [0.0000, 0.5000, 0.5000], [0.5000, 0.5000, 0.0000], [0.0000, 0.0000, 0.0000]]
}